A plane-wave DFT calculation with PBE was carried out for a relaxed structure of NaHf2Rh2.

The space group is P4/mbm (No. 127) and the conventional cell measures 7.939, 7.939 and 3.053 Å, with angles of 90.00, 90.00 and 90.00 degrees. The asymmetric unit holds Na at (0.000, 0.000, 0.000), Hf at (0.144, 0.356, 0.000) and Rh at (0.145, 0.645, 0.500).

The calculation puts the energy above the most stable polymorph in this dataset at 0.065 eV per atom. Its calculated total energy is -76.25 eV/cell. The value obtained for the formation energy is -0.440 eV per atom. For the total magnetic moment, the calculation gives 0.00 μB/cell.